Density functional theory data (PBE) for CuTc2Ag after structural relaxation.

Computed properties:
formation enthalpy at 0 K: 426 meV per atom
final energy: -6.4934 eV per atom
SG: No. 47

abc: 2.681 4.291 5.190
angles: 90.00 90.00 90.00
Positions (direct):
Cu (0.000, 0.000, 0.000)
Tc (0.500, 0.500, 0.221)
Tc (0.500, 0.500, 0.779)
Ag (0.000, 0.000, 0.500)